Tb4CdPt PBE-GGA relaxed; SG = No. 14; formation enthalpy at 0 K = -0.3572 eV per atom; calculated density = 8.5 g/cm3; distance to the lowest polymorph of the same formula = 249 meV/atom
1.0
-2.7054 -5.7767 -3.0002
2.3578 -3.9530 5.4850
-6.1596 1.4880 3.7201
Tb Cd Pt
8 2 2
Cartesian
-1.9260 -7.3653 1.5435
-6.4318 -2.9300 2.0031
-2.2604 -2.6771 2.2141
-2.4729 -3.3825 6.4708
-4.5812 -0.8763 4.6614
-0.0755 -5.3117 4.2018
-4.2469 -5.5645 3.9908
-4.0343 -4.8592 -0.2660
0.0000 0.0000 0.0000
-0.1738 -4.8648 1.2424
-4.4325 -2.1444 0.3599
-1.9009 -1.2325 4.6026